Density functional theory data (PBE-GGA) for a relaxed Dy5NiBi2 crystal.

Properties
Excess energy over the best structure of this formula in the dataset   0 meV/atom
Calculated volume   27.94 Å³/atom
Formation enthalpy at 0 K   -54.98 kJ/mol of atoms
Uncorrected energy   -5.14 eV/atom

Unit cell a=8.0686 b=12.3072 c=4.5020 alpha=90.00 beta=90.00 gamma=90.00
Closest atoms and distances in Å follow each position.
Positions (direct):
Dy (0.0000, 0.0000, 0.0000)  4 Bi 3.16, 4 Dy 3.51
Dy (0.1369, 0.3050, 0.0000)  1 Ni 2.64
Dy (0.1800, 0.5608, 0.5000)  2 Ni 2.78
Dy (0.3200, 0.0608, 0.5000)  2 Ni 2.78
Dy (0.3631, 0.8050, 0.0000)  1 Ni 2.64
Dy (0.5000, 0.5000, 0.0000)  4 Bi 3.16, 4 Dy 3.51
Dy (0.6369, 0.1950, 0.0000)  1 Ni 2.64
Dy (0.6800, 0.9392, 0.5000)  2 Ni 2.78
Dy (0.8200, 0.4392, 0.5000)  2 Ni 2.78
Dy (0.8631, 0.6950, 0.0000)  1 Ni 2.64
Ni (0.0000, 0.5000, 0.0000)  6 Dy 2.64-2.78
Ni (0.5000, 0.0000, 0.0000)  6 Dy 2.64-2.78
Bi (0.0727, 0.8257, 0.5000)  9 Dy 3.16-3.52
Bi (0.4273, 0.3257, 0.5000)  9 Dy 3.16-3.52
Bi (0.5727, 0.6743, 0.5000)  9 Dy 3.16-3.52
Bi (0.9273, 0.1743, 0.5000)  9 Dy 3.16-3.52


Density functional theory data (PBE-GGA) for a relaxed Th2Ga crystal.

Properties
Calculated volume   27.67 Å³/atom
Formation enthalpy at 0 K   -35.25 kJ/mol of atoms
Uncorrected energy   -6.32 eV/atom

Unit cell a=6.0804 b=6.0804 c=6.0804 alpha=103.30 beta=103.30 gamma=122.67
Closest atoms and distances in Å follow each position.
Positions (direct):
Th (0.1582, 0.6582, 0.8163)  4 Ga 3.19, 3 Th 3.38-3.51
Th (0.3418, 0.1582, 0.5000)  4 Ga 3.19, 3 Th 3.38-3.51
Th (0.6582, 0.8418, 0.5000)  4 Ga 3.19, 3 Th 3.38-3.51
Th (0.8418, 0.3418, 0.1837)  4 Ga 3.19, 3 Th 3.38-3.51
Ga (0.2500, 0.2500, 0.0000)  2 Ga 2.92, 8 Th 3.19
Ga (0.7500, 0.7500, 0.0000)  2 Ga 2.92, 8 Th 3.19


Density functional theory data (PBE-GGA) for a relaxed ZrOs2N crystal.

Properties
Calculated volume   14.79 Å³/atom
Uncorrected energy   -9.73 eV/atom
E_form (uncorrected)   105.5 meV per atom

Unit cell a=5.4288 b=5.4288 c=5.4288 alpha=103.39 beta=103.39 gamma=122.46
Closest atoms and distances in Å follow each position.
Positions (direct):
Zr (0.0000, 0.0000, 0.0000)  2 N 2.61, 4 Os 2.72
Zr (0.7500, 0.2500, 0.5000)  2 N 2.61, 4 Os 2.72
Os (0.2478, 0.1250, 0.6228)  2 N 2.00
Os (0.3750, 0.7522, 0.8772)  2 N 2.00
Os (0.5022, 0.6250, 0.3772)  2 N 2.00
Os (0.8750, 0.4978, 0.1228)  2 N 2.00
N (0.2500, 0.7500, 0.5000)  4 Os 2.00
N (0.5000, 0.5000, 0.0000)  4 Os 2.00


Density functional theory data (PBE-GGA) for a relaxed ZrTaCl2 crystal.

Properties
Excess energy over the best structure of this formula in the dataset   1185 meV/atom
Calculated volume   17.79 Å³/atom
Uncorrected energy   -5.72 eV/atom
E_form (uncorrected)   307.1 meV per atom

Unit cell a=4.9177 b=4.9177 c=4.9177 alpha=128.33 beta=128.33 gamma=76.09
Closest atoms and distances in Å follow each position.
Positions (direct):
Zr (0.0000, 0.0000, 0.0000)  8 Cl 2.89, 4 Ta 3.03
Ta (0.5000, 0.5000, 0.0000)  8 Cl 2.89, 4 Zr 3.03
Cl (0.2500, 0.7500, 0.5000)  4 Ta 2.89, 4 Zr 2.89, 4 Cl 3.03
Cl (0.7500, 0.2500, 0.5000)  4 Ta 2.89, 4 Zr 2.89, 4 Cl 3.03


Density functional theory data (PBE-GGA) for a relaxed La2TaSi crystal.

Properties
Calculated volume   26.17 Å³/atom
Uncorrected energy   -6.35 eV/atom
E_form (uncorrected)   433.5 meV per atom

Unit cell a=6.7472 b=6.7472 c=6.7472 alpha=99.65 beta=99.65 gamma=131.67
Closest atoms and distances in Å follow each position.
Positions (direct):
La (0.0804, 0.6250, 0.9554)  2 La 2.87, 2 Si 2.90
La (0.3750, 0.3304, 0.4554)  2 La 2.87, 2 Si 2.90
La (0.6696, 0.1250, 0.0446)  2 La 2.87, 2 Si 2.90
La (0.8750, 0.9196, 0.5446)  2 La 2.87, 2 Si 2.90
Ta (0.2500, 0.7500, 0.5000)  2 Si 2.76
Ta (0.5000, 0.5000, 0.0000)  2 Si 2.76
Si (0.0000, 0.0000, 0.0000)  2 Ta 2.76, 4 La 2.90
Si (0.7500, 0.2500, 0.5000)  2 Ta 2.76, 4 La 2.90


Density functional theory data (PBE-GGA) for a relaxed Nb6Zn2N crystal.

Properties
Calculated volume   16.35 Å³/atom
Uncorrected energy   -8.09 eV/atom
E_form (uncorrected)   -167.1 meV per atom

Unit cell a=5.5072 b=6.5713 c=9.7000 alpha=90.00 beta=123.02 gamma=90.00
Closest atoms and distances in Å follow each position.
Positions (direct):
Nb (0.1259, 0.1702, 0.4624)  1 N 2.19
Nb (0.1259, 0.3298, 0.9624)  1 N 2.19
Nb (0.2916, 0.7100, 0.4517)  1 N 2.14
Nb (0.2916, 0.7900, 0.9517)  1 N 2.14
Nb (0.3097, 0.0036, 0.2238)  1 N 2.28
Nb (0.3097, 0.4964, 0.7238)  1 N 2.28
Nb (0.6903, 0.5036, 0.2762)  1 N 2.28
Nb (0.6903, 0.9964, 0.7762)  1 N 2.28
Nb (0.7084, 0.2100, 0.0483)  1 N 2.14
Nb (0.7084, 0.2900, 0.5483)  1 N 2.14
Nb (0.8741, 0.6702, 0.0376)  1 N 2.19
Nb (0.8741, 0.8298, 0.5376)  1 N 2.19
Zn (0.2034, 0.1038, 0.7613)  8 Nb 2.63-2.74
Zn (0.2034, 0.3962, 0.2613)  8 Nb 2.63-2.74
Zn (0.7966, 0.6038, 0.7387)  8 Nb 2.63-2.74
Zn (0.7966, 0.8962, 0.2387)  8 Nb 2.63-2.74
N (0.5000, 0.0000, 0.5000)  6 Nb 2.14-2.28
N (0.5000, 0.5000, 0.0000)  6 Nb 2.14-2.28